(1)
Below is a relaxed structure of LaPrDy2, with properties calculated at the PBE level.

Calculated values
- ΔE_f (eV per formula unit) = 0.05
- D(E_F) (states/eV/cell) = 4.74

abc: 3.649 3.649 11.925
angles: 81.20 81.20 60.00
Atoms (fractional coordinates):
Pr  0.500  0.500  0.500
La  0.000  0.000  0.000
Dy  0.750  0.750  0.749
Dy  0.250  0.250  0.251


(2)
Below is a relaxed structure of La3Pr4Dy5, with properties calculated at the PBE level.

Calculated values
- ΔE_f (eV per formula unit) = 0.24
- D(E_F) (states/eV/cell) = 17.85

abc: 7.295 11.543 13.165
angles: 151.29 56.45 129.09
Atoms (fractional coordinates):
La  0.580  0.162  0.331
La  0.000  0.000  0.500
La  0.420  0.838  0.669
Pr  0.916  0.839  0.670
Pr  0.830  0.660  0.830
Pr  0.170  0.340  0.170
Pr  0.084  0.161  0.330
Dy  0.330  0.665  0.835
Dy  0.500  0.000  0.500
Dy  0.751  0.502  0.001
Dy  0.249  0.498  0.999
Dy  0.670  0.335  0.165


(3)
Below is a relaxed structure of LaPr6Dy12, with properties calculated at the PBE level.

Calculated values
- ΔE_f (eV per formula unit) = 3.88
- D(E_F) (states/eV/cell) = 30.41

abc: 8.811 8.811 8.811
angles: 98.79 98.79 98.79
Atoms (fractional coordinates):
La  0.000  0.000  0.000
Pr  0.900  0.345  0.900
Pr  0.900  0.900  0.345
Pr  0.345  0.900  0.900
Pr  0.100  0.100  0.655
Pr  0.100  0.655  0.100
Pr  0.655  0.100  0.100
Dy  0.756  0.244  0.500
Dy  0.356  0.081  0.356
Dy  0.356  0.356  0.081
Dy  0.919  0.644  0.644
Dy  0.644  0.644  0.919
Dy  0.644  0.919  0.644
Dy  0.500  0.756  0.244
Dy  0.244  0.500  0.756
Dy  0.244  0.756  0.500
Dy  0.500  0.244  0.756
Dy  0.756  0.500  0.244
Dy  0.081  0.356  0.356